i) {
  "formula": "Tl2Cd2Pb",
  "functional": "PBE",
  "state": "optimized geometry",
  "mass_density_g_cm3": 9.4,
  "volume_a3_per_cell": 298.6,
  "cell": [[5.1868, -3.2019, 0.0000], [5.1868, 3.2019, 0.0000], [-4.7467, 0.0000, 8.9900]],
  "species": ["Tl", "Tl", "Tl", "Tl", "Cd", "Cd", "Cd", "Cd", "Pb", "Pb"],
  "frac_coords": [[0.1959, 0.1986, 0.3480], [0.1986, 0.1959, 0.8480], [0.8014, 0.8041, 0.1520], [0.8041, 0.8014, 0.6520], [0.2209, 0.7756, 0.0001], [0.2244, 0.7791, 0.4999], [0.7756, 0.2209, 0.5001], [0.7791, 0.2244, 0.9999], [0.4985, 0.5015, 0.7500], [0.5015, 0.4985, 0.2500]]
}

ii) {
  "formula": "Tl2Cd2Pb",
  "functional": "PBE",
  "state": "optimized geometry",
  "mass_density_g_cm3": 9.5,
  "volume_a3_per_cell": 147.3,
  "cell": [[-2.2752, 2.2752, 7.1130], [2.2752, -2.2752, 7.1130], [2.2752, 2.2752, -7.1130]],
  "species": ["Tl", "Tl", "Cd", "Cd", "Pb"],
  "frac_coords": [[0.2500, 0.7500, 0.5000], [0.7500, 0.2500, 0.5000], [0.0973, 0.0973, 0.0000], [0.9027, 0.9027, 0.0000], [0.5000, 0.5000, 0.0000]]
}

Most stable: i). Least stable: ii).

i) {
  "formula": "Tl2Cd2Pb",
  "functional": "PBE",
  "state": "optimized geometry",
  "mass_density_g_cm3": 9.7,
  "volume_a3_per_cell": 287.7,
  "cell": [[9.1737, 0.0000, 0.0000], [0.0000, 9.1737, 0.0000], [0.0000, 0.0000, 3.4190]],
  "species": ["Tl", "Tl", "Tl", "Tl", "Cd", "Cd", "Cd", "Cd", "Pb", "Pb"],
  "frac_coords": [[0.1403, 0.3597, 0.0000], [0.3597, 0.8597, 0.0000], [0.6403, 0.1403, 0.0000], [0.8597, 0.6403, 0.0000], [0.1588, 0.6588, 0.5000], [0.3412, 0.1588, 0.5000], [0.6588, 0.8412, 0.5000], [0.8412, 0.3412, 0.5000], [0.0000, 0.0000, 0.0000], [0.5000, 0.5000, 0.0000]]
}

ii) {
  "formula": "Tl2Cd2Pb",
  "functional": "PBE",
  "state": "optimized geometry",
  "mass_density_g_cm3": 9.2,
  "volume_a3_per_cell": 151.4,
  "cell": [[-2.0297, 2.0297, 9.1868], [2.0297, -2.0297, 9.1868], [2.0297, 2.0297, -9.1868]],
  "species": ["Tl", "Tl", "Cd", "Cd", "Pb"],
  "frac_coords": [[0.1035, 0.1035, 0.0000], [0.8965, 0.8965, 0.0000], [0.2500, 0.7500, 0.5000], [0.7500, 0.2500, 0.5000], [0.5000, 0.5000, 0.0000]]
}

iii) {
  "formula": "Tl2Cd2Pb",
  "functional": "PBE",
  "state": "optimized geometry",
  "mass_density_g_cm3": 9.8,
  "volume_a3_per_cell": 286.0,
  "cell": [[8.6856, 0.0000, 0.0000], [0.0000, 8.6856, 0.0000], [0.0000, 0.0000, 3.7906]],
  "species": ["Tl", "Tl", "Tl", "Tl", "Cd", "Cd", "Cd", "Cd", "Pb", "Pb"],
  "frac_coords": [[0.1732, 0.3268, 0.0000], [0.3268, 0.8268, 0.0000], [0.6732, 0.1732, 0.0000], [0.8268, 0.6732, 0.0000], [0.1257, 0.6257, 0.5000], [0.3743, 0.1257, 0.5000], [0.6257, 0.8743, 0.5000], [0.8743, 0.3743, 0.5000], [0.0000, 0.0000, 0.5000], [0.5000, 0.5000, 0.5000]]
}

Most stable: iii). Least stable: i).

i) {
  "formula": "Tl8Cd2Pb",
  "functional": "PBE",
  "state": "optimized geometry",
  "mass_density_g_cm3": 10.1,
  "volume_a3_per_cell": 339.3,
  "cell": [[5.0935, -6.4545, 0.0000], [5.0935, 6.4545, 0.0000], [-0.0167, 0.0000, 5.1604]],
  "species": ["Tl", "Tl", "Tl", "Tl", "Tl", "Tl", "Tl", "Tl", "Cd", "Cd", "Pb"],
  "frac_coords": [[0.1703, 0.1703, 0.9977], [0.1895, 0.4610, 0.4980], [0.2446, 0.7554, 0.0000], [0.4610, 0.1895, 0.4980], [0.5390, 0.8105, 0.5020], [0.7554, 0.2446, 0.0000], [0.8105, 0.5390, 0.5020], [0.8297, 0.8297, 0.0023], [0.1155, 0.8845, 0.5000], [0.8845, 0.1155, 0.5000], [0.5000, 0.5000, 0.0000]]
}

ii) {
  "formula": "Tl8Cd2Pb",
  "functional": "PBE",
  "state": "optimized geometry",
  "mass_density_g_cm3": 9.3,
  "volume_a3_per_cell": 367.5,
  "cell": [[7.0378, -4.9605, 0.0000], [7.0378, 4.9605, 0.0000], [-1.1598, 0.0000, 5.2632]],
  "species": ["Tl", "Tl", "Tl", "Tl", "Tl", "Tl", "Tl", "Tl", "Cd", "Cd", "Pb"],
  "frac_coords": [[0.1061, 0.1061, 0.8040], [0.1398, 0.6975, 0.7097], [0.2556, 0.2556, 0.3872], [0.3025, 0.8602, 0.2903], [0.6975, 0.1398, 0.7097], [0.7444, 0.7444, 0.6128], [0.8602, 0.3025, 0.2903], [0.8939, 0.8939, 0.1960], [0.3661, 0.3661, 0.9528], [0.6339, 0.6339, 0.0472], [0.5000, 0.5000, 0.5000]]
}

Most stable: i). Least stable: ii).

i) {
  "formula": "Tl2Cd4Pb5",
  "functional": "PBE",
  "state": "optimized geometry",
  "mass_density_g_cm3": 9.5,
  "volume_a3_per_cell": 331.8,
  "cell": [[11.6329, -1.6539, 0.0000], [11.6329, 1.6539, 0.0000], [-0.0807, 0.0000, 8.6234]],
  "species": ["Tl", "Tl", "Cd", "Cd", "Cd", "Cd", "Pb", "Pb", "Pb", "Pb", "Pb"],
  "frac_coords": [[0.2320, 0.2320, 0.3332], [0.7680, 0.7680, 0.6668], [0.1058, 0.1058, 0.2355], [0.4983, 0.4983, 0.6709], [0.5017, 0.5017, 0.3291], [0.8942, 0.8942, 0.7645], [0.0000, 0.0000, 0.0000], [0.3205, 0.3205, 0.0265], [0.3758, 0.3758, 0.4243], [0.6242, 0.6242, 0.5757], [0.6795, 0.6795, 0.9735]]
}

ii) {
  "formula": "Tl2Cd4Pb5",
  "functional": "PBE",
  "state": "optimized geometry",
  "mass_density_g_cm3": 9.5,
  "volume_a3_per_cell": 330.1,
  "cell": [[6.3473, -3.3693, 0.0000], [6.3473, 3.3693, 0.0000], [-5.7246, 0.0000, 7.7184]],
  "species": ["Tl", "Tl", "Cd", "Cd", "Cd", "Cd", "Pb", "Pb", "Pb", "Pb", "Pb"],
  "frac_coords": [[0.2073, 0.2073, 0.2558], [0.7927, 0.7927, 0.7442], [0.2361, 0.2361, 0.6300], [0.2413, 0.2413, 0.9637], [0.7587, 0.7587, 0.0363], [0.7639, 0.7639, 0.3700], [0.2563, 0.7412, 0.6766], [0.2588, 0.7437, 0.3234], [0.5000, 0.5000, 0.0000], [0.7412, 0.2563, 0.6766], [0.7437, 0.2588, 0.3234]]
}

Most stable: ii). Least stable: i).

i) {
  "formula": "TlCd2Pb3",
  "functional": "PBE",
  "state": "optimized geometry",
  "mass_density_g_cm3": 10.0,
  "volume_a3_per_cell": 347.3,
  "cell": [[3.4504, 1.9921, 8.4219], [-3.4504, 1.9921, 8.4219], [0.0000, -3.9842, 8.4219]],
  "species": ["Tl", "Tl", "Cd", "Cd", "Cd", "Cd", "Pb", "Pb", "Pb", "Pb", "Pb", "Pb"],
  "frac_coords": [[0.2229, 0.2229, 0.2229], [0.7771, 0.7771, 0.7771], [0.0000, 0.0000, 0.0000], [0.0000, 0.5000, 0.5000], [0.5000, 0.0000, 0.5000], [0.5000, 0.5000, 0.0000], [0.2304, 0.7276, 0.7276], [0.2724, 0.2724, 0.7696], [0.2724, 0.7696, 0.2724], [0.7276, 0.2304, 0.7276], [0.7276, 0.7276, 0.2304], [0.7696, 0.2724, 0.2724]]
}

ii) {
  "formula": "TlCd2Pb3",
  "functional": "PBE",
  "state": "optimized geometry",
  "mass_density_g_cm3": 9.8,
  "volume_a3_per_cell": 355.8,
  "cell": [[8.9492, -2.6527, 0.0000], [8.9492, 2.6527, 0.0000], [-0.2165, 0.0000, 7.4941]],
  "species": ["Tl", "Tl", "Cd", "Cd", "Cd", "Cd", "Pb", "Pb", "Pb", "Pb", "Pb", "Pb"],
  "frac_coords": [[0.1350, 0.1350, 0.2291], [0.8650, 0.8650, 0.7709], [0.2314, 0.2314, 0.8619], [0.4615, 0.4615, 0.6737], [0.5385, 0.5385, 0.3263], [0.7686, 0.7686, 0.1381], [0.0692, 0.0692, 0.6653], [0.3052, 0.3052, 0.4568], [0.3919, 0.3919, 0.0637], [0.6081, 0.6081, 0.9363], [0.6948, 0.6948, 0.5432], [0.9308, 0.9308, 0.3347]]
}

Most stable: i). Least stable: ii).

i) {
  "formula": "Tl2CdPb8",
  "functional": "PBE",
  "state": "optimized geometry",
  "mass_density_g_cm3": 10.7,
  "volume_a3_per_cell": 338.5,
  "cell": [[9.0466, -2.4424, 0.0000], [9.0466, 2.4424, 0.0000], [-1.9606, 0.0000, 7.6593]],
  "species": ["Tl", "Tl", "Cd", "Pb", "Pb", "Pb", "Pb", "Pb", "Pb", "Pb", "Pb"],
  "frac_coords": [[0.2275, 0.2275, 0.1379], [0.7725, 0.7725, 0.8621], [0.5000, 0.5000, 0.5000], [0.0432, 0.0432, 0.2364], [0.1319, 0.1319, 0.6745], [0.3211, 0.3211, 0.5901], [0.4114, 0.4114, 0.0426], [0.5886, 0.5886, 0.9574], [0.6789, 0.6789, 0.4099], [0.8681, 0.8681, 0.3255], [0.9568, 0.9568, 0.7636]]
}

ii) {
  "formula": "Tl2CdPb8",
  "functional": "PBE",
  "state": "optimized geometry",
  "mass_density_g_cm3": 9.9,
  "volume_a3_per_cell": 365.2,
  "cell": [[7.2756, -4.2200, 0.0000], [7.2756, 4.2200, 0.0000], [-1.3642, 0.0000, 5.9471]],
  "species": ["Tl", "Tl", "Cd", "Pb", "Pb", "Pb", "Pb", "Pb", "Pb", "Pb", "Pb"],
  "frac_coords": [[0.1244, 0.1244, 0.4792], [0.8756, 0.8756, 0.5208], [0.0000, 0.0000, 0.0000], [0.2339, 0.2339, 0.0405], [0.2342, 0.6340, 0.2133], [0.3633, 0.3633, 0.6485], [0.3660, 0.7658, 0.7867], [0.6340, 0.2342, 0.2133], [0.6367, 0.6367, 0.3515], [0.7658, 0.3660, 0.7867], [0.7661, 0.7661, 0.9595]]
}

Most stable: i). Least stable: ii).

i) {
  "formula": "TmCdPb2",
  "functional": "PBE",
  "state": "optimized geometry",
  "mass_density_g_cm3": 9.6,
  "volume_a3_per_cell": 120.8,
  "cell": [[2.3427, 1.3526, 6.3521], [-2.3427, 1.3526, 6.3521], [0.0000, -2.7051, 6.3521]],
  "species": ["Tm", "Cd", "Pb", "Pb"],
  "frac_coords": [[0.0000, 0.0000, 0.0000], [0.8236, 0.8236, 0.8236], [0.4100, 0.4100, 0.4100], [0.5773, 0.5773, 0.5773]]
}

ii) {
  "formula": "TmCdPb2",
  "functional": "PBE",
  "state": "optimized geometry",
  "mass_density_g_cm3": 10.4,
  "volume_a3_per_cell": 110.9,
  "cell": [[0.0000, 3.8129, 3.8129], [3.8129, 0.0000, 3.8129], [3.8129, 3.8129, 0.0000]],
  "species": ["Tm", "Cd", "Pb", "Pb"],
  "frac_coords": [[0.0000, 0.0000, 0.0000], [0.5000, 0.5000, 0.5000], [0.2500, 0.2500, 0.2500], [0.7500, 0.7500, 0.7500]]
}

Most stable: ii). Least stable: i).

i) {
  "formula": "TmCdPb2",
  "functional": "PBE",
  "state": "optimized geometry",
  "mass_density_g_cm3": 10.6,
  "volume_a3_per_cell": 108.8,
  "cell": [[3.6763, -4.0184, 0.0000], [3.6763, 4.0184, 0.0000], [0.0000, 0.0000, 3.6836]],
  "species": ["Tm", "Cd", "Pb", "Pb"],
  "frac_coords": [[0.0000, 0.0000, 0.0000], [0.5000, 0.5000, 0.0000], [0.0000, 0.5000, 0.5000], [0.5000, 0.0000, 0.5000]]
}

ii) {
  "formula": "TmCdPb2",
  "functional": "PBE",
  "state": "optimized geometry",
  "mass_density_g_cm3": 10.9,
  "volume_a3_per_cell": 106.3,
  "cell": [[4.8756, 0.0000, 0.0000], [0.0000, 4.8756, 0.0000], [0.0000, 0.0000, 4.4726]],
  "species": ["Tm", "Cd", "Pb", "Pb"],
  "frac_coords": [[0.0000, 0.0000, 0.0000], [0.5000, 0.5000, 0.0000], [0.0000, 0.5000, 0.5000], [0.5000, 0.0000, 0.5000]]
}

Most stable: ii). Least stable: i).